Entry 1:
# AlHgBi2

A relaxed structure of AlHgBi2 (GGA-PBE, Alexandria via LeMat-Bulk).

abc: 4.4977 4.4977 20.0847
angles: 90.00 90.00 120.00
Space group R3m (No. 160, hexagonal axes)
Inequivalent atoms, fractional coordinates:
Al  0.0000  0.0000  0.0000 (multiplicity 3)
Hg  0.0000  0.0000  0.8337 (multiplicity 3)
Bi  0.0000  0.0000  0.4076 (multiplicity 3)
Bi  0.0000  0.0000  0.5960 (multiplicity 3)

Summary:
E: -33.42 eV per cell
DFT formation energy: 0.1665 eV/atom
Distance to the lowest polymorph of the same formula: 41 meV/atom

---

Entry 2:
# TaIrF2

A relaxed structure of TaIrF2 (GGA-PBE, Alexandria via LeMat-Bulk).

abc: 3.7546 3.7546 15.6701
angles: 90.00 90.00 90.00
Space group I-42d (No. 122)
Inequivalent atoms, fractional coordinates:
Ta  0.0000  0.0000  0.0000 (multiplicity 4)
Ir  0.0000  0.0000  0.5000 (multiplicity 4)
F  0.1785  0.2500  0.1250 (multiplicity 8)

Summary:
E: -110.31 eV per cell
Distance to the lowest polymorph of the same formula: 216 meV/atom
Formation energy (no corrections): -75.3 kJ/mol of atoms

---

Entry 3:
# LaTi2W

A relaxed structure of LaTi2W (GGA-PBE, Alexandria via LeMat-Bulk).

abc: 4.1605 4.1605 19.8337
angles: 90.00 90.00 90.00
Space group I-42d (No. 122)
Inequivalent atoms, fractional coordinates:
La  0.0000  0.0000  0.0000 (multiplicity 4)
Ti  0.2232  0.7500  0.6250 (multiplicity 8)
W  0.0000  0.0000  0.5000 (multiplicity 4)

Summary:
E: -119.74 eV per cell
DFT formation energy: 0.9340 eV/atom
Distance to the lowest polymorph of the same formula: 775 meV/atom